(1)
A geometry-optimized KScP2 structure. Source: Alexandria, functional PBE.

Computed properties:
The value obtained for the density of states at the Fermi level is 2.33 states/eV per cell. The value obtained for the relative energy among the computed polymorphs is 601 meV/atom. The electronic total energy is -4.691 eV per atom. The energy relative to the elements comes out at -0.129 eV per atom.

Cell lengths 3.8191, 4.6465, 4.6465 Å; angles 90.00, 90.00, 90.00 degrees
Fractional positions:
P1 0.0000 0.0000 0.0000
P2 0.0000 0.5000 0.5000
Sc1 0.5000 0.5000 0.0000
K1 0.5000 0.0000 0.5000


(2)
A geometry-optimized KSc2P structure. Source: Alexandria, functional PBE.

Computed properties:
The value obtained for the density of states at the Fermi level is 3.91 states/eV per cell. The electronic total energy is -4.659 eV per atom. The energy relative to the elements comes out at 0.134 eV per atom.

Cell lengths 4.5470, 4.5523, 4.3061 Å; angles 90.00, 90.00, 90.00 degrees
Last column: magnetic moment on the atom in μB.
Fractional positions:
Sc1 0.5000 0.5000 0.0000  0.34
P1 0.0000 0.5000 0.5000  -0.02
Sc2 0.0000 0.0000 0.0000  0.34
K1 0.5000 0.0000 0.5000  0.01


(3)
A geometry-optimized KSc2P structure. Source: Alexandria, functional PBE.

Computed properties:
The value obtained for the density of states at the Fermi level is 6.40 states/eV per cell. The electronic total energy is -5.252 eV per atom. The energy relative to the elements comes out at -0.460 eV per atom.

Cell lengths 10.4859, 10.4859, 10.4859 Å; angles 20.39, 20.39, 20.39 degrees
Fractional positions:
Sc1 0.8789 0.8789 0.8789
K1 0.0000 0.0000 0.0000
Sc2 0.1211 0.1211 0.1211
P1 0.5000 0.5000 0.5000


(4)
A geometry-optimized KSc2P2 structure. Source: Alexandria, functional PBE.

Computed properties:
The value obtained for the density of states at the Fermi level is 5.16 states/eV per cell. The value obtained for the relative energy among the computed polymorphs is 0 meV/atom. The electronic total energy is -5.854 eV per atom. The energy relative to the elements comes out at -0.938 eV per atom.

Cell lengths 4.5824, 4.5824, 7.4401 Å; angles 72.06, 72.06, 90.00 degrees
Fractional positions:
Sc1 0.7500 0.2500 0.5000
P1 0.3403 0.3403 0.3194
K1 0.0000 0.0000 0.0000
Sc2 0.2500 0.7500 0.5000
P2 0.6597 0.6597 0.6806


(5)
A geometry-optimized KScP2 structure. Source: Alexandria, functional PBE.

Computed properties:
The value obtained for the density of states at the Fermi level is 2.95 states/eV per cell. The value obtained for the relative energy among the computed polymorphs is 1038 meV/atom. The electronic total energy is -4.254 eV per atom. The energy relative to the elements comes out at 0.308 eV per atom.

Cell lengths 4.8399, 4.8399, 4.8399 Å; angles 60.00, 60.00, 60.00 degrees
Fractional positions:
Sc1 0.7500 0.7500 0.7500
P1 0.2500 0.2500 0.2500
P2 0.0000 0.0000 0.0000
K1 0.5000 0.5000 0.5000


(6)
A geometry-optimized KScP structure. Source: Alexandria, functional PBE.

Computed properties:
The value obtained for the density of states at the Fermi level is 4.89 states/eV per cell. The electronic total energy is -3.584 eV per atom. The energy relative to the elements comes out at 0.696 eV per atom.

Cell lengths 4.8091, 4.8091, 4.8091 Å; angles 60.00, 60.00, 60.00 degrees
Last column: magnetic moment on the atom in μB.
Fractional positions:
Sc1 0.5000 0.5000 0.5000  0.75
P1 0.0000 0.0000 0.0000  -0.05
K1 0.7500 0.7500 0.7500  0.03


(7)
A geometry-optimized KSc2P structure. Source: Alexandria, functional PBE.

Computed properties:
The value obtained for the density of states at the Fermi level is 4.45 states/eV per cell. The electronic total energy is -4.569 eV per atom. The energy relative to the elements comes out at 0.224 eV per atom.

Cell lengths 5.3791, 5.3791, 5.3791 Å; angles 130.34, 130.34, 72.86 degrees
Last column: magnetic moment on the atom in μB.
Fractional positions:
Sc1 0.5000 0.5000 0.0000  0.29
Sc2 0.0000 0.0000 0.0000  0.29
K1 0.2500 0.7500 0.5000  0.02
P1 0.7500 0.2500 0.5000  -0.01


(8)
A geometry-optimized KScP2 structure. Source: Alexandria, functional PBE.

Computed properties:
The value obtained for the density of states at the Fermi level is 1.91 states/eV per cell. The value obtained for the relative energy among the computed polymorphs is 690 meV/atom. The electronic total energy is -4.602 eV per atom. The energy relative to the elements comes out at -0.040 eV per atom.

Cell lengths 5.7753, 5.7753, 5.7753 Å; angles 138.72, 138.72, 59.80 degrees
Fractional positions:
P1 0.2500 0.7500 0.5000
K1 0.7500 0.2500 0.5000
P2 0.0000 0.0000 0.0000
Sc1 0.5000 0.5000 0.0000


(9)
A geometry-optimized K3ScP structure. Source: Alexandria, functional PBE.

Computed properties:
The value obtained for the density of states at the Fermi level is 9.63 states/eV per cell. The value obtained for the relative energy among the computed polymorphs is 650 meV/atom. The electronic total energy is -1.838 eV per atom. The energy relative to the elements comes out at 1.169 eV per atom.

Cell lengths 6.5719, 6.5719, 6.5719 Å; angles 90.00, 90.00, 90.00 degrees
Last column: magnetic moment on the atom in μB.
Fractional positions:
P1 0.5000 0.5000 0.5000  -0.57
K1 0.5000 0.0000 0.0000  0.03
K2 0.0000 0.0000 0.5000  0.03
K3 0.0000 0.5000 0.0000  0.03
Sc1 0.0000 0.0000 0.0000  1.17


(10)
A geometry-optimized KScP2 structure. Source: Alexandria, functional PBE.

Computed properties:
The value obtained for the density of states at the Fermi level is 3.40 states/eV per cell. The value obtained for the relative energy among the computed polymorphs is 382 meV/atom. The electronic total energy is -4.910 eV per atom. The energy relative to the elements comes out at -0.348 eV per atom.

Cell lengths 3.5169, 3.5169, 8.6514 Å; angles 90.00, 90.00, 90.00 degrees
Fractional positions:
P1 0.5000 0.5000 0.4005
Sc1 0.0000 0.0000 0.3165
P2 0.0000 0.0000 0.0139
K1 0.5000 0.5000 0.7691


(11)
A geometry-optimized KScP structure. Source: Alexandria, functional PBE.

Computed properties:
The value obtained for the density of states at the Fermi level is 1.50 states/eV per cell. The electronic total energy is -4.860 eV per atom. The energy relative to the elements comes out at -0.581 eV per atom.

Cell lengths 7.1786, 7.1789, 3.6486 Å; angles 75.27, 75.28, 29.44 degrees
Last column: magnetic moment on the atom in μB.
Fractional positions:
Sc1 0.7371 0.7371 0.2629  0.11
K1 0.9953 0.9953 0.0047  0.01
P1 0.2676 0.2676 0.7324  0.00


(12)
A geometry-optimized K4ScP structure. Source: Alexandria, functional PBE.

Computed properties:
The value obtained for the density of states at the Fermi level is 9.47 states/eV per cell. The electronic total energy is -1.933 eV per atom. The energy relative to the elements comes out at 0.755 eV per atom.

Cell lengths 6.9658, 6.9658, 6.9658 Å; angles 60.00, 60.00, 60.00 degrees
Last column: magnetic moment on the atom in μB.
Fractional positions:
K1 0.8686 0.3771 0.3771  0.02
K2 0.3771 0.3771 0.3771  0.02
K3 0.3771 0.8686 0.3771  0.02
P1 0.7500 0.7500 0.7500  0.03
Sc1 0.0000 0.0000 0.0000  0.82
K4 0.3771 0.3771 0.8686  0.02


(13)
A geometry-optimized KScP structure. Source: Alexandria, functional PBE.

Computed properties:
The value obtained for the density of states at the Fermi level is 2.19 states/eV per cell. The electronic total energy is -4.792 eV per atom. The energy relative to the elements comes out at -0.513 eV per atom.

Cell lengths 4.0842, 4.0842, 7.0831 Å; angles 90.00, 90.00, 120.00 degrees
Fractional positions:
K1 0.0000 0.0000 0.9302
P1 0.6667 0.3333 0.6005
Sc1 0.3333 0.6667 0.4693


(14)
A geometry-optimized KScP structure. Source: Alexandria, functional PBE.

Computed properties:
The value obtained for the density of states at the Fermi level is 1.70 states/eV per cell. The electronic total energy is -4.476 eV per atom. The energy relative to the elements comes out at -0.197 eV per atom.

Cell lengths 4.7855, 4.7855, 4.7855 Å; angles 60.00, 60.00, 60.00 degrees
Fractional positions:
Sc1 0.0000 0.0000 0.0000
K1 0.5000 0.5000 0.5000
P1 0.7500 0.7500 0.7500


(15)
A geometry-optimized KScP3 structure. Source: Alexandria, functional PBE.

Computed properties:
The value obtained for the density of states at the Fermi level is 4.22 states/eV per cell. The value obtained for the relative energy among the computed polymorphs is 0 meV/atom. The electronic total energy is -4.762 eV per atom. The energy relative to the elements comes out at -0.030 eV per atom.

Cell lengths 5.0331, 5.0331, 5.0331 Å; angles 90.00, 90.00, 90.00 degrees
Fractional positions:
K1 0.5000 0.5000 0.5000
Sc1 0.0000 0.0000 0.0000
P1 0.0000 0.5000 0.0000
P2 0.5000 0.0000 0.0000
P3 0.0000 0.0000 0.5000


(16)
A geometry-optimized KScP2 structure. Source: Alexandria, functional PBE.

Computed properties:
The value obtained for the density of states at the Fermi level is 1.66 states/eV per cell. The value obtained for the relative energy among the computed polymorphs is 218 meV/atom. The electronic total energy is -5.074 eV per atom. The energy relative to the elements comes out at -0.512 eV per atom.

Cell lengths 7.3620, 7.3620, 7.3620 Å; angles 32.37, 32.37, 32.37 degrees
Fractional positions:
P1 0.5280 0.5280 0.5280
Sc1 0.2500 0.2500 0.2500
P2 0.9720 0.9720 0.9720
K1 0.7500 0.7500 0.7500


(17)
A geometry-optimized KSc2P structure. Source: Alexandria, functional PBE.

Computed properties:
The value obtained for the density of states at the Fermi level is 4.18 states/eV per cell. The electronic total energy is -5.053 eV per atom. The energy relative to the elements comes out at -0.261 eV per atom.

Cell lengths 6.3904, 6.3904, 6.5541 Å; angles 58.39, 58.39, 31.21 degrees
Fractional positions:
Sc1 0.9088 0.9088 0.1455
P1 0.3050 0.3050 0.0165
K1 0.5645 0.5645 0.4900
Sc2 0.7216 0.7216 0.8480


(18)
A geometry-optimized KSc2P structure. Source: Alexandria, functional PBE.

Computed properties:
The value obtained for the density of states at the Fermi level is 4.22 states/eV per cell. The electronic total energy is -4.553 eV per atom. The energy relative to the elements comes out at 0.240 eV per atom.

Cell lengths 6.0658, 6.0658, 3.2240 Å; angles 74.02, 74.02, 114.07 degrees
Fractional positions:
Sc1 0.5000 0.5000 0.0000
P1 0.0000 0.5000 0.5000
Sc2 0.0000 0.0000 0.0000
K1 0.5000 0.0000 0.5000


(19)
A geometry-optimized K3ScP structure. Source: Alexandria, functional PBE.

Computed properties:
The value obtained for the density of states at the Fermi level is 12.28 states/eV per cell. The value obtained for the relative energy among the computed polymorphs is 0 meV/atom. The electronic total energy is -2.488 eV per atom. The energy relative to the elements comes out at 0.519 eV per atom.

Cell lengths 6.2784, 6.2784, 6.2784 Å; angles 90.00, 90.00, 90.00 degrees
Last column: magnetic moment on the atom in μB.
Fractional positions:
K1 0.5000 0.0000 0.0000  0.00
K2 0.0000 0.0000 0.5000  0.00
Sc1 0.5000 0.5000 0.5000  0.89
P1 0.0000 0.0000 0.0000  -0.15
K3 0.0000 0.5000 0.0000  0.00


(20)
A geometry-optimized KScP2 structure. Source: Alexandria, functional PBE.

Computed properties:
The value obtained for the density of states at the Fermi level is 1.46 states/eV per cell. The value obtained for the relative energy among the computed polymorphs is 205 meV/atom. The electronic total energy is -5.087 eV per atom. The energy relative to the elements comes out at -0.525 eV per atom.

Cell lengths 7.5805, 7.5805, 7.5805 Å; angles 152.68, 149.76, 41.21 degrees
Fractional positions:
K1 0.2079 0.7079 0.5000
P1 0.9847 0.9847 0.0000
Sc1 0.4617 0.4617 0.0000
P2 0.8457 0.3457 0.5000